Record 1
Here is a geometry-optimized MgScNiBi structure from OQMD. Energies are from GGA-PBE.

Cell: 6.857 6.857 6.857 Å, 90.00 90.00 90.00°
Space group F-43m (No. 216)
One atom of each set of equivalent atoms:
Mg: 0.000 0.000 0.000 x4
Sc: 0.000 0.000 0.500 x4
Ni: 0.250 0.250 0.250 x4
Bi: 0.250 0.250 0.750 x4

Properties
Raw total energy ... -4.54 eV/atom
Size of the total moment ... 0.00 μB per formula unit



Record 2
Here is a geometry-optimized MgTaNiBi structure from OQMD. Energies are from GGA-PBE.

Cell: 6.709 6.709 6.709 Å, 90.00 90.00 90.00°
Space group F-43m (No. 216)
One atom of each set of equivalent atoms:
Mg: 0.000 0.000 0.000 x4
Ta: 0.250 0.250 0.250 x4
Ni: 0.250 0.250 0.750 x4
Bi: 0.000 0.000 0.500 x4

Properties
Raw total energy ... -5.18 eV/atom
Size of the total moment ... 0.61 μB per formula unit